(1)
Here is a relaxed structure of Ba2PrThSb4 from the Alexandria database. Energies are from PBE-GGA.

Results
The magnetization comes out at 0.00 μB/cell. The value obtained for the formation energy from raw total energies is -997 meV/atom.

abc: 4.698 8.161 8.458
angles: 108.71 90.00 90.00
Atoms (fractional coordinates):
Sb 0.000 0.265 0.782
Sb 0.000 0.735 0.218
Ba 0.000 0.500 0.500
Th 0.500 0.500 0.000
Ba 0.500 0.000 0.500
Sb 0.500 0.243 0.219
Sb 0.500 0.757 0.781
Pr 0.000 0.000 0.000

(2)
Here is a relaxed structure of BaPr4Se6 from the Alexandria database. Energies are from PBE-GGA.

Results
The magnetization comes out at 0.00 μB/cell. The value obtained for the formation energy from raw total energies is -1907 meV/atom.

abc: 4.309 7.384 21.992
angles: 90.00 90.00 106.96
Atoms (fractional coordinates):
Ba 0.341 0.681 0.750
Se 0.231 0.463 0.913
Pr 0.406 0.812 0.372
Se 0.329 0.658 0.250
Se 0.231 0.463 0.587
Se 0.769 0.537 0.087
Se 0.769 0.537 0.413
Se 0.957 0.915 0.660
Pr 0.138 0.276 0.460
Se 0.500 0.000 0.000
Pr 0.862 0.724 0.540
Se 0.671 0.342 0.750
Pr 0.406 0.812 0.128
Se 0.500 0.000 0.500
Pr 0.594 0.188 0.872
Se 0.043 0.085 0.340
Se 0.043 0.085 0.160
Pr 0.594 0.188 0.628
Se 0.957 0.915 0.840
Ba 0.659 0.319 0.250
Pr 0.138 0.276 0.040
Pr 0.862 0.724 0.960

(3)
Here is a relaxed structure of BaPr2Se4 from the Alexandria database. Energies are from PBE-GGA.

Results
The magnetization comes out at 0.00 μB/cell. The value obtained for the formation energy from raw total energies is -1941 meV/atom.

abc: 4.349 7.456 14.630
angles: 90.00 90.00 106.96
Atoms (fractional coordinates):
Se 0.768 0.536 0.385
Ba 0.611 0.222 0.750
Ba 0.389 0.778 0.250
Se 0.768 0.536 0.115
Pr 0.866 0.732 0.568
Se 0.946 0.892 0.750
Se 0.054 0.108 0.250
Pr 0.866 0.732 0.932
Se 0.500 0.000 0.000
Pr 0.134 0.268 0.432
Se 0.232 0.464 0.615
Se 0.500 0.000 0.500
Se 0.232 0.464 0.885
Pr 0.134 0.268 0.068

(4)
Here is a relaxed structure of BaPr2Se4 from the Alexandria database. Energies are from PBE-GGA.

Results
The magnetization comes out at 0.00 μB/cell. The value obtained for the formation energy from raw total energies is -1960 meV/atom.

abc: 4.389 12.906 15.700
angles: 90.00 90.00 90.00
Atoms (fractional coordinates):
Se 0.750 0.287 0.322
Pr 0.250 0.919 0.106
Se 0.250 0.713 0.678
Se 0.250 0.213 0.822
Se 0.250 0.137 0.521
Se 0.250 0.423 0.582
Pr 0.250 0.926 0.604
Se 0.750 0.486 0.782
Ba 0.250 0.253 0.160
Se 0.750 0.863 0.479
Se 0.750 0.986 0.718
Pr 0.250 0.419 0.394
Se 0.250 0.514 0.218
Pr 0.750 0.574 0.104
Se 0.250 0.014 0.282
Pr 0.750 0.581 0.606
Pr 0.750 0.074 0.396
Pr 0.750 0.081 0.894
Ba 0.750 0.747 0.840
Se 0.750 0.077 0.082
Se 0.250 0.637 0.979
Se 0.250 0.923 0.918
Se 0.750 0.363 0.021
Ba 0.750 0.247 0.660
Pr 0.250 0.426 0.896
Se 0.750 0.577 0.418
Ba 0.250 0.753 0.340
Se 0.750 0.787 0.178

(5)
Here is a relaxed structure of Ba5PrSe6 from the Alexandria database. Energies are from PBE-GGA.

Results
The magnetization comes out at 0.00 μB/cell. The value obtained for the formation energy from raw total energies is -1993 meV/atom.

abc: 8.019 8.029 8.023
angles: 59.97 80.37 70.47
Atoms (fractional coordinates):
Se 0.238 0.921 0.686
Se 0.238 0.607 0.314
Se 0.760 0.767 0.000
Ba 0.500 0.170 0.661
Ba 0.000 0.334 0.332
Pr 0.000 0.000 0.000
Se 0.240 0.233 0.000
Se 0.762 0.393 0.686
Ba 0.500 0.500 0.000
Ba 0.000 0.666 0.668
Se 0.762 0.079 0.314
Ba 0.500 0.830 0.339

(6)
Here is a relaxed structure of BaPr5Se6 from the Alexandria database. Energies are from PBE-GGA.

Results
The magnetization comes out at 0.00 μB/cell. The value obtained for the formation energy from raw total energies is -1848 meV/atom.

abc: 7.525 7.480 7.484
angles: 60.02 80.44 70.59
Atoms (fractional coordinates):
Se 0.748 0.739 0.000
Pr 0.500 0.161 0.679
Ba 0.000 0.000 0.000
Pr 0.500 0.839 0.321
Pr 0.500 0.500 0.000
Se 0.260 0.568 0.345
Pr 0.000 0.333 0.334
Se 0.260 0.913 0.655
Se 0.252 0.261 0.000
Se 0.740 0.432 0.655
Se 0.740 0.087 0.345
Pr 0.000 0.667 0.666

(7)
Here is a relaxed structure of BaPr2Se4 from the Alexandria database. Energies are from PBE-GGA.

Results
The magnetization comes out at 0.00 μB/cell. The value obtained for the formation energy from raw total energies is -1932 meV/atom.

abc: 8.020 8.020 8.020
angles: 109.42 109.42 109.56
Atoms (fractional coordinates):
Ba 0.000 0.000 0.000
Pr 0.125 0.252 0.627
Pr 0.625 0.498 0.373
Se 0.731 0.984 0.590
Se 0.016 0.606 0.746
Se 0.859 0.269 0.254
Se 0.391 0.144 0.910
Se 0.519 0.609 0.754
Se 0.234 0.481 0.090
Pr 0.502 0.875 0.127
Pr 0.748 0.375 0.873
Ba 0.250 0.750 0.500
Se 0.394 0.141 0.410
Se 0.856 0.766 0.246

(8)
Here is a relaxed structure of BaPr4Se5 from the Alexandria database. Energies are from PBE-GGA.

Results
The magnetization comes out at 0.00 μB/cell. The value obtained for the formation energy from raw total energies is -1862 meV/atom.

abc: 4.313 7.560 9.717
angles: 75.09 77.18 73.43
Atoms (fractional coordinates):
Se 0.202 0.908 0.687
Pr 0.802 0.611 0.786
Se 0.798 0.092 0.313
Se 0.612 0.672 0.104
Pr 0.595 0.212 0.598
Ba 0.000 0.000 0.000
Pr 0.198 0.389 0.214
Pr 0.405 0.788 0.402
Se 0.388 0.328 0.896
Se 0.000 0.500 0.500

(9)
Here is a relaxed structure of Ba2Pr3Se6 from the Alexandria database. Energies are from PBE-GGA.

Results
The magnetization comes out at 0.00 μB/cell. The value obtained for the formation energy from raw total energies is -1937 meV/atom.

abc: 7.545 7.537 8.007
angles: 81.01 71.82 59.97
Atoms (fractional coordinates):
Se 0.406 0.664 0.780
Se 0.930 0.664 0.220
Ba 0.167 0.665 0.500
Se 0.594 0.336 0.220
Pr 0.000 0.000 0.000
Ba 0.833 0.335 0.500
Se 0.743 0.000 0.777
Pr 0.335 0.329 0.000
Se 0.070 0.336 0.780
Se 0.257 0.000 0.223
Pr 0.665 0.671 0.000

(10)
Here is a relaxed structure of Ba5Pr3Se8 from the Alexandria database. Energies are from PBE-GGA.

Results
The magnetization comes out at 0.00 μB/cell. The value obtained for the formation energy from raw total energies is -1938 meV/atom.

abc: 9.001 9.001 9.102
angles: 60.37 60.37 60.00
Atoms (fractional coordinates):
Se 0.759 0.759 0.724
Se 0.750 0.750 0.270
Ba 0.000 0.500 0.000
Ba 0.500 0.000 0.000
Se 0.750 0.230 0.270
Se 0.241 0.241 0.276
Se 0.770 0.250 0.730
Se 0.230 0.750 0.270
Pr 0.000 0.500 0.500
Se 0.250 0.770 0.730
Pr 0.000 0.000 0.500
Pr 0.500 0.000 0.500
Se 0.250 0.250 0.730
Ba 0.500 0.500 0.500
Ba 0.000 0.000 0.000
Ba 0.500 0.500 0.000

(11)
Here is a relaxed structure of Ba3PrSe4 from the Alexandria database. Energies are from PBE-GGA.

Results
The magnetization comes out at 0.00 μB/cell. The value obtained for the formation energy from raw total energies is -1961 meV/atom.

abc: 4.563 7.961 7.961
angles: 109.15 90.00 90.00
Atoms (fractional coordinates):
Se 0.500 0.238 0.762
Pr 0.500 0.000 0.000
Se 0.500 0.762 0.238
Ba 0.000 0.500 0.000
Se 0.000 0.230 0.230
Ba 0.000 0.000 0.500
Ba 0.500 0.500 0.500
Se 0.000 0.770 0.770

(12)
Here is a relaxed structure of Ba4PrSe5 from the Alexandria database. Energies are from PBE-GGA.

Results
The magnetization comes out at 0.00 μB/cell. The value obtained for the formation energy from raw total energies is -1959 meV/atom.

abc: 4.622 4.622 16.684
angles: 97.96 97.96 90.00
Atoms (fractional coordinates):
Ba 0.598 0.598 0.195
Se 0.699 0.699 0.399
Se 0.093 0.093 0.186
Ba 0.199 0.199 0.397
Se 0.500 0.500 0.000
Se 0.301 0.301 0.601
Pr 0.000 0.000 0.000
Ba 0.801 0.801 0.603
Ba 0.402 0.402 0.805
Se 0.907 0.907 0.814